No. 1
This record from the Alexandria database describes Bi2Pd3Se2 after structural relaxation. The functional is PBEsol.

Calculated values
E: -5.2611 eV per atom
Crystal system: monoclinic
Formation energy from raw total energies: -0.383 eV/atom

Cell: 7.1908 7.1908 7.3802 Å, 109.85 108.86 108.65°
Last column: nearest neighbours and their distance in Å.
Fractional coordinates of all 14 atoms:
Bi 0.2148 0.4853 0.7001  6 Pd 2.87-3.06
Pd 0.7208 0.2208 0.5000  2 Se 2.46
Pd 0.0000 0.0000 0.5000  2 Se 2.46
Pd 0.9734 0.2223 0.1956  2 Se 2.46
Se 0.3254 0.0826 0.8229  3 Pd 2.46
Bi 0.2497 0.0094 0.2591  6 Pd 2.76-2.91
Pd 0.2792 0.7792 0.5000  2 Se 2.46
Se 0.6746 0.9174 0.1771  3 Pd 2.46
Se 0.2597 0.5024 0.1771  3 Pd 2.46
Pd 0.0266 0.7777 0.8044  2 Se 2.46
Pd 0.5000 0.5000 0.5000  2 Se 2.46
Bi 0.7503 0.9906 0.7409  6 Pd 2.76-2.91
Bi 0.7852 0.5147 0.2999  6 Pd 2.87-3.06
Se 0.7403 0.4976 0.8229  3 Pd 2.46

---

No. 2
This record from the Alexandria database describes LaFe2RuW after structural relaxation. The functional is PBEsol.

Calculated values
E: -8.4402 eV per atom
ΔH_f (0 K): 1010 meV per atom
Crystal system: tetragonal

Cell: 4.6424 4.6424 4.6498 Å, 90.00 90.00 90.00°
Last column: nearest neighbours and their distance in Å.
Fractional coordinates of all 5 atoms:
Fe 0.5000 0.0000 0.0000  2 Ru 2.32
Fe 0.0000 0.5000 0.0000  2 Ru 2.32
W 0.0000 0.0000 0.5000  2 Ru 2.32
Ru 0.0000 0.0000 0.0000  4 Fe 2.32, 2 W 2.32
La 0.5000 0.5000 0.5000  4 W 3.28, 8 Fe 3.29

---

No. 3
This record from the Alexandria database describes Zn2Sn2Hg after structural relaxation. The functional is PBEsol.

Calculated values
E: -2.3711 eV per atom
ΔH_f (0 K): 79 meV per atom
Crystal system: tetragonal

Cell: 4.1399 7.1080 7.1080 Å, 90.00 90.00 90.00°
Last column: nearest neighbours and their distance in Å.
Fractional coordinates of all 10 atoms:
Hg 0.0000 0.0000 0.0000  4 Zn 2.81
Zn 0.0000 0.8744 0.6256  1 Zn 2.53, 2 Hg 2.81
Zn 0.0000 0.6256 0.1257  1 Zn 2.53, 2 Hg 2.81
Zn 0.0000 0.1257 0.3744  1 Zn 2.53, 2 Hg 2.81
Sn 0.5000 0.1770 0.6770  6 Zn 2.87-3.01
Sn 0.5000 0.6770 0.8230  6 Zn 2.87-3.01
Hg 0.0000 0.5000 0.5000  4 Zn 2.81
Sn 0.5000 0.3230 0.1770  6 Zn 2.87-3.01
Zn 0.0000 0.3744 0.8744  1 Zn 2.53, 2 Hg 2.81
Sn 0.5000 0.8230 0.3230  6 Zn 2.87-3.01

---

No. 4
This record from the Alexandria database describes Mg2ZrCu after structural relaxation. The functional is PBEsol.

Calculated values
E: -4.1741 eV per atom
ΔH_f (0 K): 40 meV per atom
Crystal system: orthorhombic

Cell: 2.9559 4.8532 5.8915 Å, 114.32 104.53 90.00°
Last column: nearest neighbours and their distance in Å.
Fractional coordinates of all 4 atoms:
Zr 0.5000 0.0000 0.0000  4 Cu 2.84, 2 Zr 2.96
Mg 0.7145 0.7145 0.4290  2 Cu 2.66, 6 Mg 2.93-2.96
Cu 0.0000 0.5000 0.0000  4 Mg 2.66, 4 Zr 2.84, 2 Cu 2.96
Mg 0.2855 0.2855 0.5710  2 Cu 2.66, 6 Mg 2.93-2.96

---

No. 5
This record from the Alexandria database describes RbHfNiB2 after structural relaxation. The functional is PBEsol.

Calculated values
E: -4.1680 eV per atom
ΔH_f (0 K): 2176 meV per atom
Crystal system: tetragonal

Cell: 4.4331 4.4331 5.5805 Å, 90.00 90.00 90.00°
Last column: nearest neighbours and their distance in Å.
Fractional coordinates of all 5 atoms:
Hf 0.0000 0.0000 0.0000  4 B 2.22
B 0.5000 0.0000 0.0000  2 Hf 2.22
Ni 0.5000 0.5000 0.5000  4 Rb 3.13
B 0.0000 0.5000 0.0000  2 Hf 2.22
Rb 0.0000 0.0000 0.5000  2 Hf 2.79

---

No. 6
This record from the Alexandria database describes CoAs3C after structural relaxation. The functional is PBEsol.

Calculated values
E: -4.9917 eV per atom
ΔH_f (0 K): 1548 meV per atom
Crystal system: cubic

Cell: 4.4175 4.4175 4.4175 Å, 90.00 90.00 90.00°
Last column: nearest neighbours and their distance in Å.
Fractional coordinates of all 5 atoms:
As 0.0000 0.5000 0.0000  2 Co 2.21
As 0.0000 0.0000 0.5000  2 Co 2.21
As 0.5000 0.0000 0.0000  2 Co 2.21
C 0.5000 0.5000 0.5000  12 As 3.12
Co 0.0000 0.0000 0.0000  6 As 2.21